Sr2MgAsPt GGA-PBE optimized geometry; symmetry = P4/mmm, No. 123
1.0
6.034 0.000 0.000
0.000 6.034 0.000
0.000 0.000 4.573
Sr Mg As Pt
2 1 1 1
Cartesian
0.000 3.017 0.000 Sr
3.017 0.000 0.000 Sr
0.000 0.000 0.000 Mg
3.017 3.017 2.286 As
0.000 0.000 2.286 Pt

MgTa2AsPt GGA-PBE optimized geometry; symmetry = P4/mmm, No. 123
1.0
4.723 0.000 0.000
0.000 4.723 0.000
0.000 0.000 4.620
Mg Ta As Pt
1 2 1 1
Cartesian
0.000 0.000 0.000 Mg
0.000 2.361 2.310 Ta
2.361 0.000 2.310 Ta
0.000 0.000 2.310 As
2.361 2.361 0.000 Pt

PuMgAs GGA-PBE optimized geometry; symmetry = P-62m, No. 189
1.0
7.468 0.000 0.000
-3.734 6.467 0.000
0.000 0.000 4.443
Pu Mg As
3 3 3
Cartesian
-0.951 1.648 0.000 Pu
1.903 0.000 0.000 Pu
2.782 4.819 0.000 Pu
-2.184 3.783 2.222 Mg
1.550 2.684 2.222 Mg
4.368 0.000 2.222 Mg
0.000 0.000 2.222 As
0.000 4.311 0.000 As
3.734 2.156 0.000 As

So what do the calculations give for formation energy from the elements? Going down the list: 21 697 -429 meV per atom.
So what do the calculations give for VASP energy? Going down the list: -3.109 -6.501 -7.287 eV per atom.